Entry 1:
Compound: Re2IrRu
Source: Alexandria via LeMat-Bulk
Functional: PBE
Structure: optimized geometry

Geometry as CIF:
```
data_Re2IrRu
_space_group_name_H-M_alt 'P 1'
_space_group_IT_number 1
_cell_length_a 2.7332
_cell_length_b 4.7364
_cell_length_c 5.4901
_cell_angle_alpha 55.08
_cell_angle_beta 90.00
_cell_angle_gamma 90.00
loop_
_space_group_symop_operation_xyz
'x,y,z'
loop_
_atom_site_label
_atom_site_fract_x
_atom_site_fract_y
_atom_site_fract_z
Ir1 0.0000 0.0000 0.5000
Re1 0.0000 0.0000 0.0000
Re2 0.5000 0.5000 0.0000
Ru1 0.5000 0.5000 0.5000
```

Properties
* formation energy: -35 meV/atom
* VASP energy: -43.2 eV for the cell shown
* energy relative to the lowest polymorph listed for this composition: 0.1758 eV/atom
* N(E_F): 4.22 states/eV/f.u.

Entry 2:
Compound: LiCa2Sm
Source: Alexandria via LeMat-Bulk
Functional: PBE
Structure: optimized geometry

Geometry as CIF:
```
data_LiCa2Sm
_space_group_name_H-M_alt 'P 1'
_space_group_IT_number 1
_cell_length_a 4.0711
_cell_length_b 4.0711
_cell_length_c 8.2548
_cell_angle_alpha 90.00
_cell_angle_beta 90.00
_cell_angle_gamma 90.00
loop_
_space_group_symop_operation_xyz
'x,y,z'
loop_
_atom_site_label
_atom_site_fract_x
_atom_site_fract_y
_atom_site_fract_z
Ca1 0.0000 0.0000 0.7699
Ca2 0.0000 0.0000 0.2301
Sm1 0.5000 0.5000 0.5000
Li1 0.5000 0.5000 0.0000
```

Properties
* formation energy: 88 meV/atom
* VASP energy: -10.3 eV for the cell shown
* energy relative to the lowest polymorph listed for this composition: 0.0000 eV/atom
* N(E_F): 3.46 states/eV/f.u.

Repeat the second record exactly.
Compound: LiCa2Sm
Source: Alexandria via LeMat-Bulk
Functional: PBE
Structure: optimized geometry

Geometry as CIF:
```
data_LiCa2Sm
_space_group_name_H-M_alt 'P 1'
_space_group_IT_number 1
_cell_length_a 4.0711
_cell_length_b 4.0711
_cell_length_c 8.2548
_cell_angle_alpha 90.00
_cell_angle_beta 90.00
_cell_angle_gamma 90.00
loop_
_space_group_symop_operation_xyz
'x,y,z'
loop_
_atom_site_label
_atom_site_fract_x
_atom_site_fract_y
_atom_site_fract_z
Ca1 0.0000 0.0000 0.7699
Ca2 0.0000 0.0000 0.2301
Sm1 0.5000 0.5000 0.5000
Li1 0.5000 0.5000 0.0000
```

Properties
* formation energy: 88 meV/atom
* VASP energy: -10.3 eV for the cell shown
* energy relative to the lowest polymorph listed for this composition: 0.0000 eV/atom
* N(E_F): 3.46 states/eV/f.u.